PBE Mg2CoAuN, optimized geometry; total energy = -24.08 eV for the cell shown
1.0
4.443 0.000 0.000
0.000 4.443 0.000
0.000 0.000 3.556
N Mg Au Co
1 2 1 1
Direct
0.000 0.000 0.000 N
0.000 0.500 0.000 Mg
0.500 0.000 0.000 Mg
0.500 0.500 0.500 Au
0.000 0.000 0.500 Co



PBE NdTh6Se8, optimized geometry; total energy = -101.82 eV for the cell shown
1.0
-3.962 3.606 6.424
-4.779 -4.610 5.086
2.492 -1.524 7.838
Th Se Nd
6 8 1
Direct
0.500 0.000 0.000 Th
0.500 0.000 0.500 Th
0.500 0.500 0.000 Th
0.000 0.000 0.500 Th
0.000 0.500 0.000 Th
0.000 0.500 0.500 Th
0.259 0.259 0.741 Se
0.259 0.741 0.259 Se
0.741 0.259 0.259 Se
0.741 0.259 0.741 Se
0.741 0.741 0.259 Se
0.250 0.250 0.250 Se
0.259 0.741 0.741 Se
0.750 0.750 0.750 Se
0.000 0.000 0.000 Nd



PBE U3Os5N12, optimized geometry; total energy = -773.96 eV for the cell shown
1.0
10.873 0.000 0.000
-3.624 10.252 0.000
-3.624 -5.126 8.878
N U Os
48 12 20
Direct
0.418 0.126 0.596 N
0.292 0.874 0.970 N
0.322 0.530 0.404 N
0.404 0.374 0.582 N
0.874 0.292 0.470 N
0.596 0.970 0.678 N
0.404 0.030 0.322 N
0.904 0.082 0.874 N
0.678 0.470 0.596 N
0.708 0.126 0.030 N
0.918 0.822 0.792 N
0.970 0.374 0.292 N
0.178 0.082 0.708 N
0.322 0.792 0.418 N
0.822 0.918 0.292 N
0.418 0.292 0.322 N
0.530 0.322 0.904 N
0.596 0.626 0.418 N
0.096 0.918 0.126 N
0.374 0.970 0.792 N
0.126 0.708 0.530 N
0.082 0.178 0.208 N
0.918 0.096 0.626 N
0.292 0.418 0.822 N
0.678 0.208 0.582 N
0.792 0.322 0.918 N
0.178 0.096 0.970 N
0.030 0.404 0.822 N
0.874 0.582 0.904 N
0.626 0.596 0.918 N
0.208 0.530 0.626 N
0.582 0.874 0.404 N
0.470 0.678 0.096 N
0.904 0.822 0.530 N
0.208 0.678 0.082 N
0.082 0.904 0.374 N
0.708 0.582 0.178 N
0.822 0.904 0.030 N
0.030 0.626 0.708 N
0.792 0.470 0.374 N
0.582 0.708 0.678 N
0.970 0.596 0.178 N
0.126 0.418 0.096 N
0.626 0.030 0.208 N
0.096 0.178 0.470 N
0.374 0.404 0.082 N
0.470 0.792 0.874 N
0.530 0.208 0.126 N
0.875 0.750 0.125 U
0.250 0.625 0.875 U
0.250 0.125 0.375 U
0.875 0.125 0.250 U
0.125 0.875 0.750 U
0.750 0.375 0.125 U
0.750 0.875 0.625 U
0.625 0.250 0.375 U
0.625 0.375 0.750 U
0.375 0.750 0.625 U
0.375 0.625 0.250 U
0.125 0.250 0.875 U
0.500 0.500 0.000 Os
0.500 0.000 0.500 Os
0.750 0.625 0.375 Os
0.625 0.750 0.875 Os
0.375 0.125 0.750 Os
0.000 0.500 0.000 Os
0.125 0.750 0.375 Os
0.750 0.125 0.875 Os
0.250 0.375 0.625 Os
0.000 0.000 0.000 Os
0.500 0.000 0.000 Os
0.875 0.625 0.750 Os
0.125 0.375 0.250 Os
0.000 0.500 0.500 Os
0.875 0.250 0.625 Os
0.625 0.875 0.250 Os
0.250 0.875 0.125 Os
0.500 0.500 0.500 Os
0.375 0.250 0.125 Os
0.000 0.000 0.500 Os



PBE BaNaCd2Au4, optimized geometry; formation energy from the elements = -3.155 eV/f.u.; total energy = -21.34 eV for the cell shown
1.0
4.840 0.000 0.000
2.420 4.191 0.000
2.420 1.397 9.964
Au Ba Cd Na
4 1 2 1
Direct
0.888 0.888 0.337 Au
0.112 0.112 0.663 Au
0.402 0.402 0.794 Au
0.598 0.598 0.206 Au
0.000 0.000 0.000 Ba
0.237 0.237 0.288 Cd
0.763 0.763 0.712 Cd
0.500 0.500 0.500 Na



PBE ZrMnNi, optimized geometry; formation energy from the elements = -0.806 eV/f.u.; total energy = -48.61 eV for the cell shown
1.0
5.007 0.004 -0.011
-2.500 4.339 0.011
2.484 1.461 4.095
Zr Ni Mn
2 2 2
Direct
0.000 0.002 0.998 Zr
0.500 0.748 0.752 Zr
0.750 0.375 0.375 Ni
0.250 0.875 0.375 Ni
0.750 0.375 0.875 Mn
0.250 0.375 0.375 Mn



PBE Mg14VCd, optimized geometry; formation energy from the elements = 0.832 eV/f.u.; total energy = -31.53 eV for the cell shown
1.0
-4.497 1.726 -4.037
-1.452 -1.206 5.995
1.650 9.889 2.390
Mg V Cd
14 1 1
Direct
0.000 0.500 0.500 Mg
0.500 0.000 0.500 Mg
0.500 0.000 0.000 Mg
0.164 0.836 0.245 Mg
0.000 0.500 0.000 Mg
0.500 0.500 0.000 Mg
0.672 0.836 0.755 Mg
0.164 0.328 0.755 Mg
0.672 0.836 0.245 Mg
0.500 0.500 0.500 Mg
0.164 0.836 0.755 Mg
0.667 0.333 0.751 Mg
0.164 0.328 0.245 Mg
0.667 0.333 0.249 Mg
0.000 0.000 0.000 V
0.000 0.000 0.500 Cd



PBE TlH8Ru2, optimized geometry; total energy = -45.67 eV for the cell shown
1.0
5.844 0.048 -0.062
-0.057 4.207 -2.246
0.054 -0.158 4.766
H Tl Ru
8 1 2
Direct
0.391 0.354 0.354 H
0.391 0.997 0.640 H
0.670 0.997 0.318 H
0.671 0.675 0.675 H
0.670 0.318 0.997 H
0.820 0.330 0.663 H
0.820 0.663 0.330 H
0.391 0.640 0.997 H
0.079 0.997 0.997 Tl
0.549 0.664 0.330 Ru
0.549 0.330 0.664 Ru



PBE PuGaAg, optimized geometry; formation energy from the elements = -0.461 eV/f.u.; total energy = -41.34 eV for the cell shown
1.0
2.940 0.000 0.000
0.000 5.339 0.000
0.000 -2.669 7.789
Ga Pu Ag
2 2 2
Direct
0.000 0.816 0.718 Ga
0.000 0.098 0.282 Ga
0.500 0.644 0.364 Pu
0.500 0.280 0.636 Pu
0.000 0.638 0.000 Ag
0.500 0.147 0.000 Ag



PBE VInB3, optimized geometry; formation energy from the elements = 12.320 eV/f.u.; total energy = -19.57 eV for the cell shown; distance to the lowest polymorph of the same formula = 1.254 eV per atom
1.0
-0.416 2.522 -3.563
-3.261 -2.559 -1.430
-2.902 2.514 2.118
B V In
3 1 1
Direct
0.000 0.000 0.500 B
0.000 0.500 0.000 B
0.500 0.000 0.000 B
0.500 0.500 0.500 V
0.000 0.000 0.000 In



PBE CaLaPtAu, optimized geometry; formation energy from the elements = -3.888 eV/f.u.; total energy = -20.14 eV for the cell shown
1.0
4.023 0.000 0.000
0.000 4.453 0.000
-2.011 0.000 5.711
Au Ca Pt La
1 1 1 1
Direct
0.585 0.500 0.170 Au
0.141 0.000 0.281 Ca
0.409 0.000 0.818 Pt
0.865 0.500 0.731 La



PBE CeNi6, optimized geometry; formation energy from the elements = -1.493 eV/f.u.; total energy = -168.46 eV for the cell shown; distance to the lowest polymorph of the same formula = 0.000 eV per atom
1.0
-3.727 -2.257 -2.081
4.915 -5.119 -3.251
-0.865 -5.828 7.869
Ni Ce
24 4
Direct
0.250 0.649 0.350 Ni
0.006 0.934 0.308 Ni
0.250 0.149 0.150 Ni
0.506 0.566 0.808 Ni
0.506 0.066 0.692 Ni
0.994 0.566 0.808 Ni
0.250 0.391 0.980 Ni
0.750 0.441 0.409 Ni
0.750 0.851 0.850 Ni
0.750 0.609 0.020 Ni
0.494 0.434 0.192 Ni
0.994 0.066 0.692 Ni
0.250 0.816 0.759 Ni
0.750 0.941 0.091 Ni
0.250 0.559 0.591 Ni
0.750 0.109 0.480 Ni
0.750 0.184 0.241 Ni
0.750 0.684 0.259 Ni
0.750 0.351 0.650 Ni
0.250 0.059 0.909 Ni
0.250 0.891 0.520 Ni
0.250 0.316 0.741 Ni
0.494 0.934 0.308 Ni
0.006 0.434 0.192 Ni
0.250 0.259 0.439 Ce
0.750 0.241 0.939 Ce
0.750 0.741 0.561 Ce
0.250 0.759 0.061 Ce



PBE NpSeO5, optimized geometry; total energy = -108.56 eV for the cell shown; distance to the lowest polymorph of the same formula = 0.023 eV per atom
1.0
-2.775 -6.676 -6.277
4.063 -0.717 -1.034
1.273 -4.143 3.844
O Se Np
10 2 2
Direct
0.394 0.014 0.886 O
0.415 0.438 0.279 O
0.250 0.512 0.796 O
0.894 0.986 0.114 O
0.915 0.562 0.721 O
0.750 0.488 0.204 O
0.606 0.986 0.114 O
0.585 0.562 0.721 O
0.085 0.438 0.279 O
0.106 0.014 0.886 O
0.250 0.140 0.709 Se
0.750 0.860 0.291 Se
0.500 0.500 0.000 Np
0.000 0.500 0.000 Np



no.,total magnetization (μB/f.u.)
1,0.00
2,0.00
3,4.20
4,0.00
5,2.19
6,3.96
7,0.00
8,5.48
9,3.26
10,0.00
11,0.38
12,1.00